Entry 1:
GGA-PBE Gd2CuF, relaxed; DOS(E_F) = 3.070 states/eV/cell; total magnetic moment = 14.3 μB per cell; uncorrected formation energy = -1.1993 eV per atom
1.0
-2.802 2.696 0.775
-3.731 -0.622 -1.187
-3.390 -2.084 5.130
Gd Cu F
2 1 1
direct
0.743 0.743 0.770
0.257 0.257 0.230
0.500 0.500 0.500
0.000 0.000 0.000

Entry 2:
GGA-PBE NaGdCu2F8, relaxed; total magnetic moment = 5.1 μB per cell; uncorrected formation energy = -2.6044 eV per atom
1.0
-0.351 4.417 3.260
2.808 -2.662 3.910
3.235 0.933 -5.557
Na Gd Cu F
1 1 2 8
direct
0.500 0.500 0.000
0.000 0.000 0.000
0.250 0.750 0.500
0.750 0.250 0.500
0.564 0.711 0.756
0.192 0.045 0.756
0.711 0.192 0.756
0.808 0.289 0.244
0.045 0.564 0.756
0.436 0.955 0.244
0.955 0.808 0.244
0.289 0.436 0.244

Entry 3:
GGA-PBE CuGe2F6, relaxed; DOS(E_F) = 5.501 states/eV/cell; total magnetic moment = 2.0 μB per cell; uncorrected formation energy = -1.8593 eV per atom
1.0
-3.658 -1.922 -3.307
-1.938 -5.931 3.951
-5.432 4.736 1.614
Cu Ge F
2 4 12
direct
0.250 0.076 0.924
0.750 0.924 0.076
0.346 0.534 0.784
0.154 0.216 0.466
0.654 0.466 0.216
0.846 0.784 0.534
0.527 0.706 0.470
0.973 0.530 0.294
0.473 0.294 0.530
0.027 0.470 0.706
0.840 0.935 0.354
0.660 0.646 0.065
0.160 0.065 0.646
0.340 0.354 0.935
0.094 0.815 0.948
0.406 0.052 0.185
0.906 0.185 0.052
0.594 0.948 0.815

Entry 4:
GGA-PBE CuGe3F, relaxed; DOS(E_F) = 3.144 states/eV/cell; total magnetic moment = 0.0 μB per cell; uncorrected formation energy = 0.1709 eV per atom
1.0
-1.041 1.992 -4.096
-4.534 -0.059 1.124
0.428 4.226 1.946
Ge Cu F
3 1 1
direct
0.000 0.500 0.000
0.000 0.000 0.500
0.500 0.000 0.000
0.000 0.000 0.000
0.500 0.500 0.500

Entry 5:
GGA-PBE Cu2GeF, relaxed; DOS(E_F) = 1.742 states/eV/cell; total magnetic moment = 0.0 μB per cell; uncorrected formation energy = -0.1675 eV per atom
1.0
0.000 2.979 2.979
2.979 0.000 2.979
2.979 2.979 0.000
Ge Cu F
1 2 1
direct
0.500 0.500 0.500
0.250 0.250 0.250
0.750 0.750 0.750
0.000 0.000 0.000

Entry 6:
GGA-PBE Cu2GeF8, relaxed; total magnetic moment = 2.0 μB per cell; uncorrected formation energy = -1.8510 eV per atom
1.0
-3.814 1.281 2.764
-2.544 -4.863 0.166
2.174 -1.083 4.924
Cu Ge F
2 1 8
direct
0.488 0.316 0.316
0.512 0.684 0.684
0.000 0.000 0.000
0.234 0.037 0.715
0.234 0.715 0.037
0.766 0.963 0.285
0.245 0.542 0.542
0.766 0.285 0.963
0.213 0.171 0.171
0.787 0.829 0.829
0.755 0.458 0.458

Entry 7:
GGA-PBE Cu2GeF, relaxed; DOS(E_F) = 1.672 states/eV/cell; total magnetic moment = 0.0 μB per cell; uncorrected formation energy = -0.3068 eV per atom
1.0
6.355 0.000 0.000
0.000 6.355 0.000
3.177 3.177 2.695
Ge Cu F
2 4 2
direct
0.000 0.000 0.000
0.750 0.250 0.500
0.595 0.125 0.250
0.155 0.625 0.250
0.375 0.405 0.750
0.875 0.845 0.750
0.500 0.500 0.000
0.250 0.750 0.500

Entry 8:
GGA-PBE CuGe3F, relaxed; DOS(E_F) = 1.621 states/eV/cell; total magnetic moment = 0.0 μB per cell; uncorrected formation energy = 0.1910 eV per atom
1.0
-1.800 -2.419 3.361
3.384 -2.971 -0.326
2.386 2.389 2.997
Ge Cu F
3 1 1
direct
0.000 0.500 0.000
0.000 0.000 0.500
0.500 0.000 0.000
0.500 0.500 0.500
0.000 0.000 0.000

Entry 9:
GGA-PBE CuHgGeF6, relaxed; DOS(E_F) = 7.964 states/eV/cell; total magnetic moment = 1.0 μB per cell; uncorrected formation energy = -1.7987 eV per atom
1.0
5.384 0.001 0.001
2.693 4.662 -0.001
0.001 -0.001 6.452
Cu Hg Ge F
1 1 1 6
direct
0.667 0.667 0.500
0.000 0.000 0.000
0.333 0.333 0.500
0.040 0.356 0.338
0.356 0.040 0.662
0.604 0.356 0.662
0.040 0.604 0.662
0.356 0.604 0.338
0.604 0.040 0.338

Entry 10:
GGA-PBE Cu3GeI2F6, relaxed; DOS(E_F) = 7.348 states/eV/cell; total magnetic moment = 0.9 μB per cell; uncorrected formation energy = -1.3826 eV per atom
1.0
5.196 0.000 -0.097
0.000 5.775 0.000
-0.904 -2.887 7.358
Cu Ge I F
3 1 2 6
direct
0.000 0.500 0.000
0.500 0.500 0.500
0.500 0.000 0.500
0.500 0.000 0.000
0.137 0.682 0.365
0.863 0.318 0.635
0.745 0.260 0.065
0.255 0.740 0.935
0.578 0.883 0.766
0.422 0.117 0.234
0.255 0.195 0.935
0.745 0.805 0.065

Entry 11:
GGA-PBE LaCuGe2F, relaxed; DOS(E_F) = 3.395 states/eV/cell; total magnetic moment = 0.0 μB per cell; uncorrected formation energy = -0.4570 eV per atom
1.0
4.711 0.000 0.000
0.000 4.472 0.000
0.000 0.000 4.711
Ge F Cu La
2 1 1 1
direct
0.000 0.000 0.500
0.500 0.000 0.000
0.000 0.000 0.000
0.000 0.500 0.000
0.500 0.500 0.500

Entry 12:
GGA-PBE LaCuGeF, relaxed; DOS(E_F) = 5.029 states/eV/cell; total magnetic moment = 0.0 μB per cell; uncorrected formation energy = -1.7264 eV per atom
1.0
-2.673 -2.735 1.659
2.992 -1.372 2.559
-2.241 5.600 5.621
La Cu Ge F
2 2 2 2
direct
0.500 0.000 0.691
0.000 0.500 0.309
0.500 0.500 0.000
0.000 0.000 0.000
0.000 0.500 0.845
0.500 0.000 0.155
0.000 0.000 0.500
0.500 0.500 0.500

Entry 13:
GGA-PBE LiCuGeF6, relaxed; DOS(E_F) = 14.353 states/eV/cell; total magnetic moment = 0.2 μB per cell; uncorrected formation energy = -2.2258 eV per atom
1.0
-1.430 2.184 -4.424
0.327 -5.114 0.351
-8.989 -0.388 2.714
Li Cu Ge F
2 2 2 12
direct
0.333 0.667 0.250
0.667 0.333 0.750
0.000 0.000 0.000
0.000 0.000 0.500
0.667 0.333 0.250
0.333 0.667 0.750
0.656 0.625 0.140
0.970 0.344 0.140
0.344 0.970 0.640
0.030 0.656 0.860
0.375 0.344 0.360
0.970 0.625 0.360
0.625 0.970 0.860
0.656 0.030 0.360
0.030 0.375 0.640
0.375 0.030 0.140
0.625 0.656 0.640
0.344 0.375 0.860

Entry 14:
GGA-PBE NaCuGeF6, relaxed; DOS(E_F) = 12.219 states/eV/cell; total magnetic moment = 0.2 μB per cell; uncorrected formation energy = -2.2111 eV per atom
1.0
5.482 0.000 0.000
-2.741 4.747 0.000
0.000 0.000 9.389
Na Cu Ge F
2 2 2 12
direct
0.000 0.000 0.000
0.000 0.000 0.500
0.333 0.667 0.250
0.667 0.333 0.750
0.667 0.333 0.250
0.333 0.667 0.750
0.667 0.610 0.139
0.943 0.333 0.139
0.333 0.943 0.639
0.057 0.667 0.861
0.390 0.333 0.361
0.943 0.610 0.361
0.610 0.943 0.861
0.667 0.057 0.361
0.057 0.390 0.639
0.390 0.057 0.139
0.610 0.667 0.639
0.333 0.390 0.861

Entry 15:
GGA-PBE NaCu2GeF8, relaxed; DOS(E_F) = 3.785 states/eV/cell; total magnetic moment = 1.0 μB per cell; uncorrected formation energy = -2.0407 eV per atom
1.0
-1.725 -2.608 3.839
-3.460 -1.564 -3.142
3.731 -5.033 -1.686
Na Cu Ge F
1 2 1 8
direct
0.000 0.000 0.500
0.496 0.498 0.744
0.504 0.502 0.256
0.000 0.000 0.000
0.172 0.822 0.199
0.709 0.713 0.002
0.827 0.176 0.199
0.828 0.178 0.801
0.291 0.287 0.998
0.173 0.824 0.801
0.678 0.684 0.503
0.322 0.316 0.497

Entry 16:
GGA-PBE CuGeOF2, relaxed; DOS(E_F) = 1.618 states/eV/cell; total magnetic moment = 0.0 μB per cell; uncorrected formation energy = -0.9821 eV per atom
1.0
3.933 0.000 0.000
0.000 3.933 0.000
0.000 0.000 3.953
Ge O Cu F
1 1 1 2
direct
0.500 0.500 0.500
0.000 0.000 0.500
0.000 0.000 0.000
0.000 0.500 0.000
0.500 0.000 0.000

Entry 17:
GGA-PBE CuGeO2F, relaxed; DOS(E_F) = 3.780 states/eV/cell; total magnetic moment = 0.1 μB per cell; uncorrected formation energy = -0.9427 eV per atom
1.0
-2.136 -2.638 1.460
2.986 -2.099 0.575
0.448 1.617 3.579
Ge O Cu F
1 2 1 1
direct
0.000 0.000 0.000
0.000 0.500 0.000
0.500 0.000 0.000
0.500 0.500 0.500
0.000 0.000 0.500

Entry 18:
GGA-PBE CuGeO2F, relaxed; DOS(E_F) = 3.948 states/eV/cell; total magnetic moment = 0.0 μB per cell; uncorrected formation energy = -0.6221 eV per atom
1.0
3.839 0.000 0.000
0.000 3.839 0.000
0.000 0.000 3.860
Ge O Cu F
1 2 1 1
direct
0.500 0.500 0.500
0.000 0.500 0.000
0.500 0.000 0.000
0.000 0.000 0.000
0.000 0.000 0.500

Entry 19:
GGA-PBE CuGeOF2, relaxed; DOS(E_F) = 0.782 states/eV/cell; total magnetic moment = 0.0 μB per cell; uncorrected formation energy = -1.0423 eV per atom
1.0
4.174 0.000 0.000
0.000 4.174 0.000
0.000 0.000 3.767
Ge O Cu F
1 1 1 2
direct
0.000 0.000 0.000
0.000 0.000 0.500
0.500 0.500 0.500
0.000 0.500 0.000
0.500 0.000 0.000

Entry 20:
GGA-PBE Rb2CuGeF, relaxed; DOS(E_F) = 0.167 states/eV/cell; total magnetic moment = 2.0 μB per cell; uncorrected formation energy = -0.1755 eV per atom
1.0
-2.496 5.891 2.464
-0.355 -1.802 3.949
6.362 2.063 1.513
Ge Cu Rb F
1 1 2 1
direct
0.000 0.000 0.000
0.500 0.500 0.500
0.000 0.000 0.500
0.500 0.000 0.000
0.000 0.500 0.000

Entry 21:
GGA-PBE RbCuGeF2, relaxed; DOS(E_F) = 0.889 states/eV/cell; total magnetic moment = 0.0 μB per cell; uncorrected formation energy = -0.7286 eV per atom
1.0
4.335 0.000 0.000
0.000 8.312 0.000
0.000 0.000 4.335
Ge Cu Rb F
1 1 1 2
direct
0.000 0.000 0.000
0.500 0.500 0.500
0.000 0.500 0.000
0.000 0.000 0.500
0.500 0.000 0.000

Entry 22:
GGA-PBE Rb2CuGeF6, relaxed; DOS(E_F) = 2.298 states/eV/cell; total magnetic moment = 0.0 μB per cell; uncorrected formation energy = -2.2381 eV per atom
1.0
6.031 0.000 0.000
0.000 6.031 0.000
3.016 3.016 4.307
Ge Cu Rb F
1 1 2 6
direct
0.000 0.000 0.000
0.500 0.500 0.000
0.750 0.250 0.500
0.250 0.750 0.500
0.247 0.247 0.505
0.753 0.753 0.495
0.251 0.251 0.000
0.749 0.749 0.000
0.749 0.251 0.000
0.251 0.749 0.000

Entry 23:
GGA-PBE RbCu2GeF8, relaxed; DOS(E_F) = 3.625 states/eV/cell; total magnetic moment = 1.0 μB per cell; uncorrected formation energy = -2.0449 eV per atom
1.0
5.007 0.094 0.639
0.143 5.182 0.499
1.062 0.879 7.523
Rb Cu Ge F
1 2 1 8
direct
0.000 0.000 0.500
0.385 0.484 0.714
0.615 0.516 0.286
0.000 0.000 0.000
0.108 0.782 0.187
0.698 0.783 0.051
0.808 0.202 0.166
0.892 0.218 0.813
0.302 0.217 0.949
0.192 0.798 0.834
0.522 0.737 0.482
0.478 0.263 0.518

Entry 24:
GGA-PBE CuGeSeF2, relaxed; DOS(E_F) = 1.490 states/eV/cell; total magnetic moment = 0.0 μB per cell; uncorrected formation energy = -0.9914 eV per atom
1.0
-0.995 2.277 3.098
-2.820 -4.127 2.127
3.245 -1.219 1.938
Ge Cu Se F
1 1 1 2
direct
0.000 0.000 0.000
0.500 0.500 0.500
0.000 0.500 0.000
0.000 0.000 0.500
0.500 0.000 0.000